Compound: Pr2Si2PbS8
Source: the Alexandria database
Functional: SCAN
Structure: single point on PBEsol structure

Cell lengths 8.838, 8.838, 10.119 Å; angles 114.38, 114.38, 60.89 degrees
Sites, in units of the cell vectors:
1 Pr 0.059 0.941 0.500
2 Pr 0.560 0.752 0.003
3 Pr 0.752 0.560 0.503
4 Pr 0.941 0.059 0.000
5 Si 0.146 0.674 0.735
6 Si 0.349 0.827 0.272
7 Si 0.674 0.146 0.235
8 Si 0.827 0.349 0.772
9 Pb 0.253 0.418 0.011
10 Pb 0.418 0.253 0.511
11 S 0.036 0.295 0.686
12 S 0.070 0.597 0.495
13 S 0.110 0.775 0.186
14 S 0.207 0.908 0.812
15 S 0.295 0.036 0.186
16 S 0.381 0.478 0.832
17 S 0.418 0.898 0.512
18 S 0.478 0.381 0.332
19 S 0.569 0.599 0.202
20 S 0.597 0.070 0.995
21 S 0.599 0.569 0.702
22 S 0.732 0.924 0.304
23 S 0.775 0.110 0.686
24 S 0.898 0.418 0.012
25 S 0.908 0.207 0.312
26 S 0.924 0.732 0.804

Properties
E_tot (eV/atom): -21.375
Uncorrected formation energy (kJ per mole of atoms): -136
ρ (g/cm3): 4.39



Compound: Ca2TaAl2
Source: the Alexandria database
Functional: SCAN
Structure: single point on PBEsol structure

Cell lengths 3.506, 3.506, 20.406 Å; angles 90.00, 90.00, 90.00 degrees
Sites, in units of the cell vectors:
1 Ca 0.000 0.000 0.107
2 Ca 0.000 0.000 0.893
3 Ca 0.500 0.500 0.393
4 Ca 0.500 0.500 0.607
5 Ta 0.000 0.000 0.500
6 Ta 0.500 0.500 0.000
7 Al 0.000 0.500 0.250
8 Al 0.000 0.500 0.750
9 Al 0.500 0.000 0.250
10 Al 0.500 0.000 0.750

Properties
E_tot (eV/atom): -19.621
Energy relative to the elements (eV per atom): 0.6614
ρ (g/cm3): 4.17



Compound: YTaSn3
Source: the Alexandria database
Functional: SCAN
Structure: single point on PBEsol structure

Cell lengths 5.461, 5.461, 5.461 Å; angles 90.00, 90.00, 90.00 degrees
Sites, in units of the cell vectors:
1 Y 0.000 0.000 0.000
2 Ta 0.500 0.500 0.500
3 Sn 0.000 0.000 0.500
4 Sn 0.000 0.500 0.000
5 Sn 0.500 0.000 0.000

Properties
E_tot (eV/atom): -38.968
Energy relative to the elements (eV per atom): 1.4694
ρ (g/cm3): 6.38



Question: What is the E_tot in the second record?
Answer: -19.621 eV/atom